FeReH: optimized geometry, PBE.

Calculated volume (Å³/atom): 9.6
Energy (eV per atom): -7.967

Cell lengths 5.4838, 4.7813, 4.4023 Å; angles 90.00, 90.44, 90.00 degrees
Sites, in units of the cell vectors:
Fe (0.1311, 0.0710, 0.2627)
Fe (0.1311, 0.4290, 0.7627)
Fe (0.8689, 0.5710, 0.2373)
Fe (0.8689, 0.9290, 0.7373)
Re (0.3802, 0.5836, 0.2443)
Re (0.3802, 0.9164, 0.7443)
Re (0.6198, 0.0836, 0.2557)
Re (0.6198, 0.4164, 0.7557)
H (0.1084, 0.1024, 0.8826)
H (0.1084, 0.3976, 0.3826)
H (0.8916, 0.6024, 0.6174)
H (0.8916, 0.8976, 0.1174)


Pm2As7Pd12: optimized geometry, PBE.

Formation enthalpy at 0 K (eV per atom): -0.63
Calculated volume (Å³/atom): 17.5
Energy (eV per atom): -5.596

Cell lengths 10.1042, 10.1042, 4.1456 Å; angles 90.00, 90.00, 120.00 degrees
Sites, in units of the cell vectors:
Pm (0.3333, 0.6667, 0.2482)
Pm (0.6667, 0.3333, 0.7518)
As (0.0000, 0.0000, 0.5000)
As (0.1170, 0.4102, 0.7452)
As (0.2932, 0.8830, 0.7452)
As (0.4102, 0.2932, 0.2548)
As (0.5898, 0.7068, 0.7452)
As (0.7068, 0.1170, 0.2548)
As (0.8830, 0.5898, 0.2548)
Pd (0.0588, 0.6214, 0.7464)
Pd (0.1114, 0.8580, 0.2283)
Pd (0.1420, 0.2534, 0.2283)
Pd (0.2534, 0.1114, 0.7717)
Pd (0.3786, 0.4374, 0.7464)
Pd (0.4374, 0.0588, 0.2536)
Pd (0.5626, 0.9412, 0.7464)
Pd (0.6214, 0.5626, 0.2536)
Pd (0.7466, 0.8886, 0.2283)
Pd (0.8580, 0.7466, 0.7717)
Pd (0.8886, 0.1420, 0.7717)
Pd (0.9412, 0.3786, 0.2536)


Ho4Tm3Al: optimized geometry, PBE.

Formation enthalpy at 0 K (eV per atom): -0.02
Calculated volume (Å³/atom): 29.0
Energy (eV per atom): -4.449

Cell lengths 3.4679, 5.2713, 12.6992 Å; angles 90.00, 90.00, 90.00 degrees
Sites, in units of the cell vectors:
Ho (0.0000, 0.0000, 0.0000)
Ho (0.0000, 0.5000, 0.3237)
Ho (0.5000, 0.0000, 0.4797)
Ho (0.5000, 0.5000, 0.8366)
Tm (0.0000, 0.0000, 0.7276)
Tm (0.0000, 0.5000, 0.5915)
Tm (0.5000, 0.5000, 0.1014)
Al (0.5000, 0.0000, 0.2241)


Cs3Sr2PuO6: optimized geometry, PBE.

Calculated volume (Å³/atom): 20.6
Energy (eV per atom): -6.438
Raw formation energy (meV/atom): -2271

Cell lengths 6.4330, 6.4330, 7.1946 Å; angles 98.47, 98.47, 119.92 degrees
Sites, in units of the cell vectors:
Cs (0.0000, 0.0000, 0.0000)
Cs (0.3318, 0.6682, 0.0000)
Cs (0.6682, 0.3318, 0.0000)
Sr (0.1662, 0.8338, 0.5000)
Sr (0.8338, 0.1662, 0.5000)
Pu (0.5000, 0.5000, 0.5000)
O (0.1573, 0.4430, 0.3302)
O (0.2701, 0.2701, 0.6756)
O (0.4430, 0.1573, 0.3302)
O (0.5570, 0.8427, 0.6698)
O (0.7299, 0.7299, 0.3244)
O (0.8427, 0.5570, 0.6698)


Ac2La9Nd: optimized geometry, PBE.

Formation enthalpy at 0 K (eV per atom): 0.01
Calculated volume (Å³/atom): 37.6
Energy (eV per atom): -4.770

Cell lengths 5.3202, 5.3202, 15.9538 Å; angles 90.00, 90.00, 90.00 degrees
Sites, in units of the cell vectors:
Ac (0.0000, 0.0000, 0.1683)
Ac (0.0000, 0.0000, 0.8317)
La (0.0000, 0.5000, 0.0000)
La (0.0000, 0.5000, 0.3376)
La (0.0000, 0.5000, 0.6624)
La (0.5000, 0.0000, 0.0000)
La (0.5000, 0.0000, 0.3376)
La (0.5000, 0.0000, 0.6624)
La (0.5000, 0.5000, 0.1694)
La (0.5000, 0.5000, 0.5000)
La (0.5000, 0.5000, 0.8306)
Nd (0.0000, 0.0000, 0.5000)


Cr3Tc: optimized geometry, PBE.

Formation enthalpy at 0 K (eV per atom): 0.29
Calculated volume (Å³/atom): 12.6
Energy (eV per atom): -9.523

Cell lengths 8.1787, 8.1787, 8.1787 Å; angles 154.52, 154.52, 36.34 degrees
Sites, in units of the cell vectors:
Cr (0.0000, 0.5000, 0.5000)
Cr (0.1242, 0.1242, 0.0000)
Cr (0.2500, 0.7500, 0.5000)
Cr (0.5000, 0.0000, 0.5000)
Cr (0.7500, 0.2500, 0.5000)
Cr (0.8758, 0.8758, 0.0000)
Tc (0.3744, 0.3744, 0.0000)
Tc (0.6256, 0.6256, 0.0000)


SrHoB12: optimized geometry, PBE.

Formation enthalpy at 0 K (eV per atom): -0.43
Calculated volume (Å³/atom): 10.1
Energy (eV per atom): -6.598

Cell lengths 4.1394, 4.1394, 8.2826 Å; angles 90.00, 90.00, 90.00 degrees
Sites, in units of the cell vectors:
Sr (0.0000, 0.0000, 0.0000)
Ho (0.0000, 0.0000, 0.5000)
B (0.2005, 0.5000, 0.2538)
B (0.2005, 0.5000, 0.7462)
B (0.5000, 0.2005, 0.2538)
B (0.5000, 0.2005, 0.7462)
B (0.5000, 0.5000, 0.1022)
B (0.5000, 0.5000, 0.4017)
B (0.5000, 0.5000, 0.5983)
B (0.5000, 0.5000, 0.8978)
B (0.5000, 0.7995, 0.2538)
B (0.5000, 0.7995, 0.7462)
B (0.7995, 0.5000, 0.2538)
B (0.7995, 0.5000, 0.7462)


TaMnZn2Pd: optimized geometry, PBE.

Formation enthalpy at 0 K (eV per atom): 1.11
Calculated volume (Å³/atom): 17.5
Energy (eV per atom): -4.643

Cell lengths 4.4188, 4.4188, 4.4724 Å; angles 90.00, 90.00, 90.00 degrees
Sites, in units of the cell vectors:
Ta (0.0000, 0.0000, 0.0000)
Mn (0.5000, 0.5000, 0.5000)
Zn (0.0000, 0.5000, 0.5000)
Zn (0.5000, 0.0000, 0.5000)
Pd (0.5000, 0.5000, 0.0000)


> What is the formula in the eighth record?

TaMnZn2Pd


> The lowest energy belongs to which entry?

Cr3Tc


Repeat the eighth record exactly.
TaMnZn2Pd: optimized geometry, PBE.

Formation enthalpy at 0 K (eV per atom): 1.11
Calculated volume (Å³/atom): 17.5
Energy (eV per atom): -4.643

Cell lengths 4.4188, 4.4188, 4.4724 Å; angles 90.00, 90.00, 90.00 degrees
Sites, in units of the cell vectors:
Ta (0.0000, 0.0000, 0.0000)
Mn (0.5000, 0.5000, 0.5000)
Zn (0.0000, 0.5000, 0.5000)
Zn (0.5000, 0.0000, 0.5000)
Pd (0.5000, 0.5000, 0.0000)